Entry 1:
Computed, not measured: a geometry-optimized ReIrS2Cl structure at the PBE level of DFT.

**Formation energy (no corrections)**: 1.16 eV/atom
**Space-group type**: P4/mmm, No. 123

Cell lengths 4.5339, 4.5339, 4.9180 Å; angles 90.00, 90.00, 90.00 degrees
Fractional coordinates of all 5 atoms:
1 Re 0.0000 0.0000 0.0000
2 Ir 0.5000 0.5000 0.5000
3 S 0.0000 0.5000 0.0000
4 S 0.5000 0.0000 0.0000
5 Cl 0.0000 0.0000 0.5000

***

Entry 2:
Computed, not measured: a geometry-optimized BaSi2Se4 structure at the PBE level of DFT.

**Formation energy (no corrections)**: -0.63 eV/atom
**Space-group type**: I4/m, No. 87

Cell lengths 6.5355, 6.5355, 6.5355 Å; angles 102.59, 102.59, 124.35 degrees
Fractional coordinates of all 7 atoms:
1 Ba 0.0000 0.0000 0.0000
2 Si 0.2500 0.7500 0.5000
3 Si 0.7500 0.2500 0.5000
4 Se 0.1902 0.6353 0.8254
5 Se 0.3647 0.1902 0.5549
6 Se 0.6353 0.8098 0.4451
7 Se 0.8098 0.3647 0.1746

***

Entry 3:
Computed, not measured: a geometry-optimized KNb3Au structure at the PBE level of DFT.

**ΔH_f (0 K)**: 1668.5 meV per atom
**Space-group type**: Pm-3m, No. 221

Cell lengths 5.1574, 5.1574, 5.1574 Å; angles 90.00, 90.00, 90.00 degrees
Fractional coordinates of all 5 atoms:
1 K 0.0000 0.0000 0.0000
2 Nb 0.0000 0.5000 0.5000
3 Nb 0.5000 0.0000 0.5000
4 Nb 0.5000 0.5000 0.0000
5 Au 0.5000 0.5000 0.5000

***

Entry 4:
Computed, not measured: a geometry-optimized CoRh structure at the PBE level of DFT.

**ΔH_f (0 K)**: 154.7 meV per atom
**Space-group type**: Imma, No. 74

Cell lengths 5.0397, 5.0397, 5.0397 Å; angles 147.87, 129.37, 61.24 degrees
Fractional coordinates of all 4 atoms:
1 Co 0.3914 0.1414 0.2500
2 Co 0.6086 0.8586 0.7500
3 Rh 0.1396 0.3896 0.7500
4 Rh 0.8604 0.6104 0.2500

***

Entry 5:
Computed, not measured: a geometry-optimized Ho2ZrS6 structure at the PBE level of DFT.

**Formation energy (no corrections)**: -1.37 eV/atom
**Space-group type**: P4_2/mnm, No. 136

Cell lengths 6.2748, 6.2748, 11.8679 Å; angles 90.00, 90.00, 90.00 degrees
Fractional coordinates of all 18 atoms:
1 Ho 0.0000 0.0000 0.1703
2 Ho 0.0000 0.0000 0.8297
3 Ho 0.5000 0.5000 0.3297
4 Ho 0.5000 0.5000 0.6703
5 Zr 0.0000 0.0000 0.5000
6 Zr 0.5000 0.5000 0.0000
7 S 0.1971 0.1971 0.3438
8 S 0.1971 0.1971 0.6562
9 S 0.2088 0.2088 0.0000
10 S 0.2912 0.7088 0.5000
11 S 0.3029 0.6971 0.1562
12 S 0.3029 0.6971 0.8438
13 S 0.6971 0.3029 0.1562
14 S 0.6971 0.3029 0.8438
15 S 0.7088 0.2912 0.5000
16 S 0.7912 0.7912 0.0000
17 S 0.8029 0.8029 0.3438
18 S 0.8029 0.8029 0.6562

***

One value per record, in order, for final energy: -5.120, -4.448, -5.248, -7.074, -6.085 eV/atom.